Record 1
This record from Alexandria via LeMat-Bulk describes a relaxed structure of CaCdBr2. The functional is PBE.

abc: 4.084 6.917 10.639
angles: 90.00 90.00 90.00
Space group Immm (No. 71)
One atom of each set of equivalent atoms:
Ca1 0.000 0.000 0.000
Cd1 0.000 0.000 0.500
Br1 0.000 0.500 0.317

## Properties
Energy = -2.769 eV per atom
Energy above the most stable polymorph in this dataset = 172 meV/atom
Energy relative to the elements, uncorrected = -1.2029 eV/atom

Record 2
This record from Alexandria via LeMat-Bulk describes a relaxed structure of AcHoPt3. The functional is PBE.

abc: 4.005 27.153 4.349
angles: 90.00 90.00 90.00
Space group Cmcm (No. 63)
One atom of each set of equivalent atoms:
Ac1 0.000 0.076 0.250
Ho1 0.000 0.208 0.750
Pt1 0.000 0.311 0.750
Pt2 0.000 0.372 0.250
Pt3 0.000 0.470 0.250

## Properties
Energy = -6.509 eV per atom

Record 3
This record from Alexandria via LeMat-Bulk describes a relaxed structure of LaPrAg. The functional is PBE.

abc: 5.1641 5.1641 3.8195
angles: 90.00 90.00 120.00
Space group P3m1 (No. 156)
One atom of each set of equivalent atoms:
La1 0.0000 0.0000 0.0000
Pr1 0.6667 0.3333 0.3937
Ag1 0.3333 0.6667 0.6794

## Properties
Energy = -4.226 eV per atom
Energy above the most stable polymorph in this dataset = 108 meV/atom

| no. | volume (Å³ per cell) | magnetization (μB/f.u.) |
| --- | --- | --- |
| 1 | 300.6 | 0.000 |
| 2 | 472.9 | 0.000 |
| 3 | 88.2 | 0.000 |